LiZn2Fe4O8 | PBE+U | relaxed

Summary:
Magnetization (μB/cell): 38.0
Offset from the most stable computed form (meV/atom): 187

Cell: 6.2711 6.3669 8.4459 Å, 90.00 90.00 90.00°
Space group Imm2 (No. 44)
Inequivalent atoms, fractional coordinates:
Li1 0.0000 0.0000 0.0000 x2
Zn1 0.0000 0.2859 0.1164 x4
Fe1 0.0000 0.0000 0.4937 x2
Fe2 0.0000 0.5000 0.7436 x2
Fe3 0.2120 0.5000 0.3626 x4
O1 0.0000 0.2375 0.8740 x4
O2 0.0000 0.2526 0.3618 x4
O3 0.2472 0.5000 0.1246 x4
O4 0.2474 0.5000 0.6048 x4